## NbP3Se (PBE-GGA)

Data for a geometry-optimized NbP3Se structure.

Cell lengths 4.822, 4.822, 4.822 Å; angles 90.00, 90.00, 90.00 degrees
Sites, in units of the cell vectors:
P (0.000, 0.500, 0.000)
P (0.000, 0.000, 0.500)
P (0.500, 0.000, 0.000)
Nb (0.000, 0.000, 0.000)
Se (0.500, 0.500, 0.500)

Summary:
Its space-group type is Pm-3m (221). The value obtained for the density of states at the Fermi level is 0.94 states/eV/atom. The calculation puts the energy above the most stable polymorph in this dataset at 0.0 meV per atom.

=====

## NbP3Se (PBE-GGA)

Data for a geometry-optimized NbP3Se structure.

Cell lengths 4.593, 4.593, 4.593 Å; angles 90.00, 90.00, 90.00 degrees
Sites, in units of the cell vectors:
P (0.000, 0.500, 0.000)
P (0.000, 0.000, 0.500)
P (0.500, 0.000, 0.000)
Nb (0.500, 0.500, 0.500)
Se (0.000, 0.000, 0.000)

Summary:
Its space-group type is Pm-3m (221). The value obtained for the density of states at the Fermi level is 1.04 states/eV/atom. The calculation puts the energy above the most stable polymorph in this dataset at 577.5 meV per atom.